Compound: TmPuMnO6
Source: Alexandria via LeMat-Bulk
Functional: GGA+U
Structure: optimized geometry

a b c (Å): 5.6156 5.6156 9.0162
angles (deg): 90.00 90.00 120.00
Space group P-31c (No. 163)
Unique sites:
Tm (0.3333, 0.6667, 0.2500) (multiplicity 2)
Pu (0.3333, 0.6667, 0.7500) (multiplicity 2)
Mn (0.0000, 0.0000, 0.0000) (multiplicity 2)
O (0.0283, 0.3596, 0.6313) (multiplicity 12)

Computed properties:
VASP energy, eV for the cell shown: -156.66